First-principles (PBE) data for a relaxed Rb2PAuCl6 crystal, as listed in Alexandria.

formation energy from raw total energies: -0.942 eV/atom
magnetization: 0.0 μB/f.u.

abc: 7.800 7.800 7.148
angles: 56.93 56.93 90.00
Atoms (fractional coordinates):
P 0.500 0.500 0.000
Au 0.000 0.000 0.000
Rb 0.750 0.250 0.500
Rb 0.250 0.750 0.500
Cl 0.250 0.250 0.499
Cl 0.750 0.750 0.501
Cl 0.279 0.279 0.000
Cl 0.721 0.721 0.000
Cl 0.721 0.279 0.000
Cl 0.279 0.721 0.000


First-principles (PBE) data for a relaxed Be3OsO crystal, as listed in Alexandria.

formation energy from raw total energies: -0.477 eV/atom
magnetization: 0.0 μB/f.u.

abc: 3.543 3.543 3.543
angles: 90.00 90.00 90.00
Atoms (fractional coordinates):
Be 0.000 0.500 0.000
Be 0.000 0.000 0.500
Be 0.500 0.000 0.000
Os 0.500 0.500 0.500
O 0.000 0.000 0.000


First-principles (PBE) data for a relaxed SrZn2CrPd crystal, as listed in Alexandria.

formation energy from the elements: 0.6830 eV per atom
magnetization: 4.4 μB/f.u.

abc: 4.818 5.787 4.818
angles: 90.00 90.00 90.00
Last column: magnetic moment on the atom in μB.
Atoms (fractional coordinates):
Sr 0.000 0.500 0.000  0.06
Zn 0.000 0.000 0.500  0.05
Zn 0.500 0.000 0.000  0.06
Pd 0.500 0.500 0.500  0.08
Cr 0.000 0.000 0.000  3.70


First-principles (PBE) data for a relaxed K2MgCl4 crystal, as listed in Alexandria.

formation energy from raw total energies: -1.917 eV/atom
magnetization: 0.0 μB/f.u.

abc: 5.010 5.010 8.623
angles: 73.11 73.11 90.00
Atoms (fractional coordinates):
K 0.358 0.358 0.284
K 0.642 0.642 0.716
Mg 0.000 0.000 0.000
Cl 0.160 0.160 0.681
Cl 0.840 0.840 0.319
Cl 0.000 0.500 0.000
Cl 0.500 0.000 0.000


First-principles (PBE) data for a relaxed La8CoHg4Ir3 crystal, as listed in Alexandria.

formation energy from the elements: -0.5468 eV per atom
magnetization: 0.0 μB/f.u.

abc: 8.321 9.341 8.333
angles: 116.56 119.95 90.00
Atoms (fractional coordinates):
La 0.229 0.696 0.967
La 0.229 0.696 0.459
La 0.267 0.301 0.534
La 0.737 0.696 0.967
La 0.263 0.304 0.033
La 0.733 0.699 0.466
La 0.771 0.304 0.541
La 0.771 0.304 0.033
Co 0.000 0.500 0.000
Hg 0.500 0.000 0.000
Hg 0.500 0.000 0.500
Hg 0.000 0.000 0.000
Hg 0.000 0.000 0.500
Ir 0.500 0.500 0.000
Ir 0.500 0.500 0.500
Ir 0.000 0.500 0.500


First-principles (PBE) data for a relaxed MgReSi crystal, as listed in Alexandria.

formation energy from raw total energies: 0.231 eV/atom
magnetization: 0.0 μB/f.u.

abc: 6.725 6.560 2.787
angles: 81.22 74.60 24.18
Atoms (fractional coordinates):
Mg 0.999 0.999 0.001
Re 0.322 0.322 0.678
Si 0.679 0.679 0.321


First-principles (PBE) data for a relaxed La2ThRu crystal, as listed in Alexandria.

formation energy from the elements: -0.2786 eV per atom
magnetization: 0.0 μB/f.u.

abc: 6.555 7.326 10.182
angles: 90.00 90.00 90.00
Atoms (fractional coordinates):
La 0.174 0.669 0.067
La 0.326 0.169 0.433
La 0.826 0.331 0.567
La 0.674 0.831 0.933
La 0.826 0.331 0.933
La 0.674 0.831 0.567
La 0.174 0.669 0.433
La 0.326 0.169 0.067
Th 0.673 0.551 0.250
Th 0.827 0.051 0.250
Th 0.327 0.449 0.750
Th 0.173 0.949 0.750
Ru 0.025 0.364 0.250
Ru 0.475 0.864 0.250
Ru 0.975 0.636 0.750
Ru 0.525 0.136 0.750


First-principles (PBE) data for a relaxed PmNd3Hg6 crystal, as listed in Alexandria.

formation energy from the elements: -0.4381 eV per atom
magnetization: 0.0 μB/f.u.

abc: 5.251 9.509 11.370
angles: 106.58 90.00 90.00
Atoms (fractional coordinates):
Pm 0.250 0.937 0.612
Pm 0.750 0.063 0.388
Nd 0.250 0.508 0.385
Nd 0.750 0.492 0.615
Nd 0.250 0.354 0.794
Nd 0.750 0.646 0.206
Nd 0.250 0.775 0.992
Nd 0.750 0.225 0.008
Hg 0.250 0.462 0.088
Hg 0.750 0.538 0.912
Hg 0.250 0.138 0.198
Hg 0.750 0.862 0.802
Hg 0.250 0.658 0.703
Hg 0.750 0.342 0.297
Hg 0.250 0.239 0.506
Hg 0.750 0.761 0.494
Hg 0.250 0.841 0.312
Hg 0.750 0.159 0.688
Hg 0.250 0.062 0.896
Hg 0.750 0.938 0.104


First-principles (PBE) data for a relaxed NdMg2Cd crystal, as listed in Alexandria.

formation energy from the elements: -0.1630 eV per atom
magnetization: 0.0 μB/f.u.

abc: 4.888 4.628 4.628
angles: 90.00 90.00 90.00
Atoms (fractional coordinates):
Mg 0.000 0.000 0.500
Mg 0.000 0.500 0.000
Nd 0.500 0.000 0.000
Cd 0.500 0.500 0.500


First-principles (PBE) data for a relaxed Pm2Sc3Sn4 crystal, as listed in Alexandria.

formation energy from the elements: -0.6525 eV per atom
magnetization: 0.0 μB/f.u.

abc: 6.641 8.640 8.961
angles: 90.00 111.75 90.00
Atoms (fractional coordinates):
Pm 0.113 0.588 0.227
Pm 0.887 0.412 0.773
Pm 0.387 0.088 0.773
Pm 0.613 0.912 0.227
Sc 0.000 0.000 0.000
Sc 0.500 0.500 0.000
Sc 0.541 0.750 0.582
Sc 0.959 0.250 0.418
Sc 0.459 0.250 0.418
Sc 0.041 0.750 0.582
Sn 0.714 0.750 0.929
Sn 0.786 0.250 0.071
Sn 0.286 0.250 0.071
Sn 0.214 0.750 0.929
Sn 0.187 0.948 0.374
Sn 0.813 0.052 0.626
Sn 0.313 0.448 0.626
Sn 0.687 0.552 0.374


First-principles (PBE) data for a relaxed RbTm4ScS8 crystal, as listed in Alexandria.

formation energy from raw total energies: -1.852 eV/atom
magnetization: 0.0 μB/f.u.

abc: 8.223 8.223 7.994
angles: 59.05 59.05 60.00
Atoms (fractional coordinates):
Rb 0.389 0.389 0.833
Tm 0.623 0.623 0.131
Tm 0.007 0.485 0.502
Tm 0.485 0.007 0.502
Tm 0.007 0.007 0.502
Sc 0.005 0.005 0.984
S 0.220 0.813 0.747
S 0.813 0.220 0.747
S 0.220 0.220 0.747
S 0.236 0.236 0.293
S 0.755 0.227 0.262
S 0.227 0.755 0.262
S 0.755 0.755 0.262
S 0.758 0.758 0.727


Look up the magnetization of the eighth one. 0.0 μB/f.u.